A.
LaPr3Zn2: optimized geometry, PBE-GGA.

Results
calculated volume: 29.312 Å³/atom
Fermi-level density of states: 1.132 states/eV per atom
spin magnetization: 0.0 μB per formula unit
space group: P4/mmm (123)

Lattice parameters (Å, degrees): 3.728 3.728 12.655 90.00 90.00 90.00
Sites, in units of the cell vectors:
La1 0.500 0.500 0.500
Pr1 0.000 0.000 0.000
Pr2 0.000 0.000 0.711
Pr3 0.000 0.000 0.289
Zn1 0.500 0.500 0.854
Zn2 0.500 0.500 0.146

B.
LaPr3Zn2: optimized geometry, PBE-GGA.

Results
calculated volume: 32.889 Å³/atom
Fermi-level density of states: 1.868 states/eV per atom
spin magnetization: 0.0 μB per formula unit
space group: Ibam (72)

Lattice parameters (Å, degrees): 6.973 7.443 9.156 113.98 112.38 90.00
Sites, in units of the cell vectors:
La1 0.000 0.500 0.000
La2 0.000 0.000 0.000
Pr1 0.500 0.250 0.000
Pr2 0.500 0.750 0.000
Pr3 0.775 0.025 0.550
Pr4 0.225 0.475 0.450
Pr5 0.225 0.975 0.450
Pr6 0.775 0.525 0.550
Zn1 0.556 0.361 0.722
Zn2 0.834 0.139 0.278
Zn3 0.166 0.861 0.722
Zn4 0.444 0.639 0.278

It is A that is the most stable of them.

A.
LaPr3Zn: optimized geometry, PBE-GGA.

Results
calculated volume: 32.351 Å³/atom
Fermi-level density of states: 1.151 states/eV per atom
spin magnetization: 0.0 μB per formula unit
space group: C2/m (12)

Lattice parameters (Å, degrees): 3.793 6.625 13.469 93.74 89.98 73.34
Sites, in units of the cell vectors:
La1 0.206 0.589 0.724
La2 0.794 0.411 0.276
Pr1 0.133 0.735 0.465
Pr2 0.362 0.277 0.048
Pr3 0.064 0.873 0.185
Pr4 0.867 0.265 0.535
Pr5 0.936 0.127 0.815
Pr6 0.638 0.723 0.952
Zn1 0.527 0.946 0.640
Zn2 0.473 0.054 0.360

B.
LaPr3Zn: optimized geometry, PBE-GGA.

Results
calculated volume: 34.480 Å³/atom
Fermi-level density of states: 1.466 states/eV per atom
spin magnetization: 0.0 μB per formula unit
space group: C2/m (12)

Lattice parameters (Å, degrees): 7.703 7.703 7.668 105.38 117.06 106.45
Sites, in units of the cell vectors:
La1 0.730 0.057 0.787
La2 0.270 0.943 0.213
Pr1 0.839 0.073 0.297
Pr2 0.223 0.458 0.297
Pr3 0.777 0.542 0.703
Pr4 0.709 0.439 0.148
Pr5 0.161 0.927 0.703
Pr6 0.291 0.561 0.852
Zn1 0.628 0.748 0.376
Zn2 0.372 0.252 0.624

It is A that is the most stable of them.

A.
LaPrZn: optimized geometry, PBE-GGA.

Results
calculated volume: 29.827 Å³/atom
Fermi-level density of states: 1.050 states/eV per atom
spin magnetization: 0.4 μB per formula unit
space group: I4mm (107)

Lattice parameters (Å, degrees): 3.788 3.788 6.787 106.20 106.20 90.00
Site moments in Bohr magnetons follow the coordinates.
Sites, in units of the cell vectors:
Pr1 0.309 0.309 0.618  0.10
Zn1 0.669 0.669 0.338  -0.01
La1 0.022 0.022 0.043  0.09

B.
LaPrZn: optimized geometry, PBE-GGA.

Results
calculated volume: 28.600 Å³/atom
Fermi-level density of states: 1.247 states/eV per atom
spin magnetization: 0.0 μB per formula unit
space group: P3m1 (156)

Lattice parameters (Å, degrees): 3.822 5.091 5.091 120.00 90.00 90.00
Sites, in units of the cell vectors:
Pr1 0.041 0.000 0.000
Zn1 0.317 0.333 0.667
La1 0.641 0.667 0.333

It is A that is the most stable of them.

A.
LaPr2Zn: optimized geometry, PBE-GGA.

Results
calculated volume: 32.676 Å³/atom
Fermi-level density of states: 1.186 states/eV per atom
spin magnetization: 0.0 μB per formula unit
space group: R3m (160)

Lattice parameters (Å, degrees): 3.742 3.742 10.992 80.23 80.23 59.99
Sites, in units of the cell vectors:
La1 0.500 0.500 0.500
Pr1 0.070 0.070 0.790
Pr2 0.264 0.264 0.209
Zn1 0.667 0.667 0.001

B.
LaPr2Zn: optimized geometry, PBE-GGA.

Results
calculated volume: 29.296 Å³/atom
Fermi-level density of states: 1.501 states/eV per atom
spin magnetization: 1.3 μB per formula unit
space group: Fm-3m (225)

Lattice parameters (Å, degrees): 5.492 5.492 5.493 60.01 60.01 60.00
Site moments in Bohr magnetons follow the coordinates.
Sites, in units of the cell vectors:
Pr1 0.250 0.250 0.250  0.18
Pr2 0.750 0.750 0.750  0.18
Zn1 0.000 0.000 0.000  -0.01
La1 0.500 0.500 0.500  0.33

It is A that is the most stable of them.

A.
LaPr2Zn: optimized geometry, PBE-GGA.

Results
calculated volume: 31.065 Å³/atom
Fermi-level density of states: 1.259 states/eV per atom
spin magnetization: 0.0 μB per formula unit
space group: P4/mmm (123)

Lattice parameters (Å, degrees): 3.740 3.740 8.881 90.00 90.00 90.00
Sites, in units of the cell vectors:
Pr1 0.000 0.000 0.795
Pr2 0.000 0.000 0.205
Zn1 0.500 0.500 0.000
La1 0.500 0.500 0.500

B.
LaPr2Zn: optimized geometry, PBE-GGA.

Results
calculated volume: 30.167 Å³/atom
Fermi-level density of states: 1.611 states/eV per atom
spin magnetization: 0.0 μB per formula unit
space group: P4/mmm (123)

Lattice parameters (Å, degrees): 4.962 4.931 4.931 90.00 90.00 90.00
Sites, in units of the cell vectors:
Pr1 0.000 0.000 0.500
Pr2 0.000 0.500 0.000
Zn1 0.500 0.000 0.000
La1 0.500 0.500 0.500

It is A that is the most stable of them.

A.
La2Pr8Zn: optimized geometry, PBE-GGA.

Results
calculated volume: 34.637 Å³/atom
Fermi-level density of states: 1.348 states/eV per atom
spin magnetization: 0.0 μB per formula unit
space group: C2/m (12)

Lattice parameters (Å, degrees): 5.812 6.652 10.291 93.25 106.40 90.00
Sites, in units of the cell vectors:
La1 0.764 0.669 0.527
La2 0.236 0.331 0.473
Pr1 0.422 0.389 0.843
Pr2 0.654 0.122 0.308
Pr3 0.846 0.191 0.692
Pr4 0.961 0.748 0.922
Pr5 0.154 0.809 0.308
Pr6 0.346 0.878 0.692
Pr7 0.578 0.611 0.157
Pr8 0.039 0.252 0.078
Zn1 0.500 0.000 0.000

B.
La2Pr8Zn: optimized geometry, PBE-GGA.

Results
calculated volume: 34.524 Å³/atom
Fermi-level density of states: 1.558 states/eV per atom
spin magnetization: 0.0 μB per formula unit
space group: C2/m (12)

Lattice parameters (Å, degrees): 5.768 7.568 9.608 107.45 107.47 90.00
Sites, in units of the cell vectors:
La1 0.817 0.330 0.633
La2 0.183 0.670 0.367
Pr1 0.400 0.576 0.800
Pr2 0.656 0.943 0.313
Pr3 0.815 0.767 0.630
Pr4 0.986 0.221 0.971
Pr5 0.185 0.233 0.370
Pr6 0.344 0.057 0.687
Pr7 0.600 0.424 0.200
Pr8 0.014 0.779 0.029
Zn1 0.500 0.000 0.000

It is A that is the most stable of them.

A.
La3Pr2Zn2: optimized geometry, PBE-GGA.

Results
calculated volume: 31.096 Å³/atom
Fermi-level density of states: 1.306 states/eV per atom
spin magnetization: 0.0 μB per formula unit
space group: Cmmm (65)

Lattice parameters (Å, degrees): 3.787 3.723 15.554 90.00 96.99 90.00
Sites, in units of the cell vectors:
La1 0.414 0.500 0.828
La2 0.586 0.500 0.172
La3 0.000 0.000 0.000
Pr1 0.299 0.500 0.597
Pr2 0.701 0.500 0.403
Zn1 0.145 0.000 0.290
Zn2 0.855 0.000 0.710

B.
La3Pr2Zn2: optimized geometry, PBE-GGA.

Results
calculated volume: 30.198 Å³/atom
Fermi-level density of states: 1.146 states/eV per atom
spin magnetization: 0.0 μB per formula unit
space group: C2/m (12)

Lattice parameters (Å, degrees): 5.566 6.609 6.422 98.51 90.00 114.91
Sites, in units of the cell vectors:
La1 0.500 0.000 0.000
La2 0.654 0.308 0.543
La3 0.346 0.692 0.457
Pr1 0.828 0.656 0.086
Pr2 0.172 0.344 0.914
Zn1 0.935 0.870 0.648
Zn2 0.065 0.130 0.352

It is B that is the most stable of them.

A.
La6PrZn2: optimized geometry, PBE-GGA.

Results
calculated volume: 33.034 Å³/atom
Fermi-level density of states: 1.412 states/eV per atom
spin magnetization: 0.0 μB per formula unit
space group: P4/mmm (123)

Lattice parameters (Å, degrees): 5.159 5.159 11.169 90.00 90.00 90.00
Sites, in units of the cell vectors:
La1 0.000 0.500 0.259
La2 0.500 0.000 0.259
La3 0.000 0.500 0.741
La4 0.500 0.000 0.741
La5 0.500 0.500 0.500
La6 0.000 0.000 0.500
Pr1 0.000 0.000 0.000
Zn1 0.500 0.500 0.106
Zn2 0.500 0.500 0.894

B.
La6PrZn2: optimized geometry, PBE-GGA.

Results
calculated volume: 32.282 Å³/atom
Fermi-level density of states: 1.261 states/eV per atom
spin magnetization: 0.0 μB per formula unit
space group: C2/m (12)

Lattice parameters (Å, degrees): 3.838 6.791 12.047 75.72 80.83 73.58
Sites, in units of the cell vectors:
La1 0.687 0.501 0.126
La2 0.313 0.499 0.874
La3 0.310 0.786 0.594
La4 0.971 0.729 0.328
La5 0.029 0.271 0.672
La6 0.690 0.214 0.406
Pr1 0.000 0.000 0.000
Zn1 0.352 0.098 0.198
Zn2 0.648 0.902 0.802

It is B that is the most stable of them.